[1]
ThTeAu after structural relaxation. Source: Alexandria via LeMat-Bulk, functional GGA-PBE.

Summary:
Mass density (Mg/m³): 9.59
ΔE to the lowest computed polymorph (eV per atom): 0.231
E_tot (eV/atom): -5.226
Formation energy (no corrections) (eV per atom): -0.613

Structure (CIF):
```
data_ThTeAu
_chemical_formula_sum 'Th4 Te4 Au4'
_cell_length_a 4.240
_cell_length_b 19.322
_cell_length_c 4.704
_cell_angle_alpha 90.00
_cell_angle_beta 90.00
_cell_angle_gamma 90.00
_space_group_name_H-M_alt 'C m c m'
_space_group_IT_number 63
_space_group_name_Hall '-C 2c 2'
loop_
_atom_site_label
_atom_site_fract_x
_atom_site_fract_y
_atom_site_fract_z
_atom_site_occupancy
Th1 0.000 0.075 0.250 1
Te1 0.000 0.177 0.750 1
Au1 0.000 0.452 0.250 1
```

***

[2]
CsHfB after structural relaxation. Source: Alexandria via LeMat-Bulk, functional GGA-PBE.

Summary:
Mass density (Mg/m³): 5.72
ΔE to the lowest computed polymorph (eV per atom): 0.000
ΔH_f (0 K) (meV per atom): 494
E_tot (eV/atom): -5.334

Structure (CIF):
```
data_CsHfB
_chemical_formula_sum 'Cs4 Hf4 B4'
_cell_length_a 18.325
_cell_length_b 5.978
_cell_length_c 3.418
_cell_angle_alpha 90.00
_cell_angle_beta 90.00
_cell_angle_gamma 90.00
_space_group_name_H-M_alt 'P n m a'
_space_group_IT_number 62
loop_
_space_group_symop_operation_xyz
'x,y,z'
'-x,-y,-z'
'-x+1/2,-y,z+1/2'
'x+1/2,y,-z+1/2'
'x+1/2,-y+1/2,-z+1/2'
'-x+1/2,y+1/2,z+1/2'
'-x,y+1/2,-z'
'x,-y+1/2,z'
loop_
_atom_site_label
_atom_site_fract_x
_atom_site_fract_y
_atom_site_fract_z
_atom_site_occupancy
Cs1 0.160 0.250 0.013 1
Hf1 0.039 0.750 0.000 1
B1 0.000 0.000 0.500 1
```

***

[3]
Sb2RuIO after structural relaxation. Source: Alexandria via LeMat-Bulk, functional GGA-PBE.

Summary:
Mass density (Mg/m³): 5.88
ΔE to the lowest computed polymorph (eV per atom): 0.216
E_tot (eV/atom): -3.991
Formation energy (no corrections) (eV per atom): 0.815

Structure (CIF):
```
data_Sb2RuIO
_chemical_formula_sum 'Sb2 Ru1 I1 O1'
_cell_length_a 5.035
_cell_length_b 5.035
_cell_length_c 5.435
_cell_angle_alpha 90.00
_cell_angle_beta 90.00
_cell_angle_gamma 90.00
_space_group_name_H-M_alt 'P 4/m m m'
_space_group_IT_number 123
_space_group_name_Hall '-P 4 2'
loop_
_atom_site_label
_atom_site_fract_x
_atom_site_fract_y
_atom_site_fract_z
_atom_site_occupancy
Sb1 0.000 0.500 0.000 1
Ru1 0.000 0.000 0.000 1
I1 0.000 0.000 0.500 1
O1 0.500 0.500 0.500 1
```

***

[4]
MnSn after structural relaxation. Source: Alexandria via LeMat-Bulk, functional GGA-PBE.

Summary:
Mass density (Mg/m³): 7.44
ΔH_f (0 K) (meV per atom): 232
E_tot (eV/atom): -6.355

Structure (CIF):
```
data_MnSn
_chemical_formula_sum 'Mn8 Sn8'
_cell_length_a 6.279
_cell_length_b 6.544
_cell_length_c 7.544
_cell_angle_alpha 90.00
_cell_angle_beta 90.00
_cell_angle_gamma 90.00
_space_group_name_H-M_alt 'P 21 21 21'
_space_group_IT_number 19
loop_
_space_group_symop_operation_xyz
'x,y,z'
'-x+1/2,-y,z+1/2'
'x+1/2,-y+1/2,-z'
'-x,y+1/2,-z+1/2'
loop_
_atom_site_label
_atom_site_fract_x
_atom_site_fract_y
_atom_site_fract_z
_atom_site_occupancy
Mn1 0.026 0.045 0.073 1
Mn2 0.191 0.850 0.354 1
Sn1 0.087 0.820 0.717 1
Sn2 0.150 0.599 0.075 1
```